No. 1
Entry from Alexandria via LeMat-Bulk: a crystal of LiTa2Ag relaxed with PBEsol (SCAN).

**SG**: No. 216
**DFT formation energy**: 617 meV/atom

Cell lengths 4.551, 4.551, 4.551 Å; angles 60.00, 60.00, 60.00 degrees
Sites, in units of the cell vectors:
Li 0.000 0.000 0.000
Ta 0.500 0.500 0.500
Ta 0.750 0.750 0.750
Ag 0.250 0.250 0.250

No. 2
Entry from Alexandria via LeMat-Bulk: a crystal of TlPb2Se relaxed with PBEsol (SCAN).

**SG**: No. 99
**E_form (uncorrected)**: -147 meV/atom

Cell lengths 4.104, 4.104, 6.868 Å; angles 90.00, 90.00, 90.00 degrees
Sites, in units of the cell vectors:
Tl 0.000 0.000 0.000
Pb 0.000 0.000 0.535
Pb 0.500 0.500 0.241
Se 0.500 0.500 0.671

No. 3
Entry from Alexandria via LeMat-Bulk: a crystal of LaHg5 relaxed with PBEsol (SCAN).

**SG**: No. 123
**DFT formation energy**: -300 meV/atom

Cell lengths 3.792, 3.792, 10.111 Å; angles 90.00, 90.00, 90.00 degrees
Sites, in units of the cell vectors:
La 0.000 0.000 0.000
Hg 0.000 0.000 0.340
Hg 0.000 0.000 0.660
Hg 0.500 0.500 0.189
Hg 0.500 0.500 0.500
Hg 0.500 0.500 0.811

No. 4
Entry from Alexandria via LeMat-Bulk: a crystal of CaTlH2 relaxed with PBEsol (SCAN).

**SG**: No. 225

Cell lengths 4.379, 4.379, 4.379 Å; angles 60.00, 60.00, 60.00 degrees
Sites, in units of the cell vectors:
Ca 0.000 0.000 0.000
Tl 0.500 0.500 0.500
H 0.250 0.250 0.250
H 0.750 0.750 0.750

Number 1: spin magnetization 0.00 Bohr magnetons per cell, final energy -41.114 eV per atom. Number 2: spin magnetization 0.00 Bohr magnetons per cell, final energy -61.147 eV per atom. Number 3: spin magnetization 0.35 Bohr magnetons per cell, final energy -64.289 eV per atom. Number 4: spin magnetization 0.00 Bohr magnetons per cell, final energy -22.185 eV per atom.